# PBE HfPaZn, optimized geometry
data_HfPaZn
_chemical_formula_sum 'Hf2 Pa2 Zn2'
_cell_length_a 4.9374
_cell_length_b 4.9374
_cell_length_c 6.1974
_cell_angle_alpha 90.00
_cell_angle_beta 90.00
_cell_angle_gamma 120.00
_symmetry_space_group_name_H-M 'P 63/m m c'
_symmetry_Int_Tables_number 194
_symmetry_space_group_name_Hall '-P 6c 2c'
loop_
_atom_site_label
_atom_site_fract_x
_atom_site_fract_y
_atom_site_fract_z
Hf1 0.0000 0.0000 0.0000
Pa1 0.3333 0.6667 0.2500
Zn1 0.3333 0.6667 0.7500
# energy relative to the elements = 0.1891 eV per atom
# relative energy among the computed polymorphs = 225 meV/atom
# magnetic moment = 0.004 Bohr magnetons per cell